Entry 1:
Below is a crystal of KCaMn2 relaxed with PBEsol, with properties calculated at the SCAN level.

The structure in POSCAR format:
```
KCaMn2
1.0
3.2881 0.0000 0.0000
0.0000 3.2881 0.0000
0.0000 0.0000 9.5434
K Ca Mn
1 1 2
direct
0.0000 0.0000 0.0000
0.5000 0.5000 0.6014
0.0000 0.0000 0.3668
0.5000 0.5000 0.2886
```

Calculated values
Calculated total energy = -13.360 eV per atom
Space-group type = P4mm


Entry 2:
Below is a crystal of LiCa2W relaxed with PBEsol, with properties calculated at the SCAN level.

The structure in POSCAR format:
```
LiCa2W
1.0
2.9134 0.0000 0.0000
0.0000 5.3075 0.0000
0.0000 0.0000 5.8098
Li Ca W
1 2 1
direct
0.0000 0.0000 0.0000
0.5000 0.0000 0.5605
0.5000 0.5000 0.2121
0.0000 0.5000 0.7205
```

Calculated values
Space-group type = Pmm2
Relative energy among the computed polymorphs = 0.54 eV/f.u.


Entry 3:
Below is a crystal of ScFeSi2 relaxed with PBEsol, with properties calculated at the SCAN level.

The structure in POSCAR format:
```
ScFeSi2
1.0
2.5131 -9.2960 0.0000
2.5131 9.2960 0.0000
0.0000 0.0000 14.0535
Sc Fe Si
12 12 24
direct
0.0324 0.9676 0.8230
0.1234 0.8766 0.0846
0.2050 0.7950 0.3189
0.2950 0.7050 0.8189
0.3766 0.6234 0.5846
0.4676 0.5324 0.3230
0.5324 0.4676 0.6770
0.6234 0.3766 0.4154
0.7050 0.2950 0.1811
0.7950 0.2050 0.6811
0.8766 0.1234 0.9154
0.9676 0.0324 0.1770
0.0000 0.5000 0.0000
0.0000 0.5000 0.5000
0.0415 0.9585 0.3765
0.0890 0.4110 0.2500
0.4110 0.0890 0.7500
0.4585 0.5415 0.8765
0.5000 0.0000 0.0000
0.5000 0.0000 0.5000
0.5415 0.4585 0.1235
0.5890 0.9110 0.2500
0.9110 0.5890 0.7500
0.9585 0.0415 0.6235
0.0869 0.9131 0.6446
0.1404 0.8596 0.4916
0.1633 0.3367 0.7500
0.1664 0.8336 0.8991
0.2335 0.7665 0.6427
0.2480 0.2480 0.0000
0.2520 0.2520 0.5000
0.2665 0.7335 0.1427
0.3336 0.6664 0.3991
0.3367 0.1633 0.2500
0.3596 0.6404 0.9916
0.4131 0.5869 0.1446
0.5869 0.4131 0.8554
0.6404 0.3596 0.0084
0.6633 0.8367 0.7500
0.6664 0.3336 0.6009
0.7335 0.2665 0.8573
0.7480 0.7480 0.5000
0.7520 0.7520 0.0000
0.7665 0.2335 0.3573
0.8336 0.1664 0.1009
0.8367 0.6633 0.2500
0.8596 0.1404 0.5084
0.9131 0.0869 0.3554
```

Calculated values
Formation energy (no corrections) = -0.622 eV per atom
Space-group type = Cmce


Entry 4:
Below is a crystal of ZrCo2Ni relaxed with PBEsol, with properties calculated at the SCAN level.

The structure in POSCAR format:
```
ZrCo2Ni
1.0
2.9636 0.0000 0.0000
0.0000 3.3052 0.0000
0.0000 0.0000 5.2994
Zr Co Ni
1 2 1
direct
0.0000 0.0000 0.0000
0.0000 0.0000 0.4927
0.5000 0.5000 0.2848
0.5000 0.5000 0.7299
```

Calculated values
Calculated total energy = -20.504 eV per atom
Space-group type = Pmm2


Entry 5:
Below is a crystal of BeCrO2 relaxed with PBEsol, with properties calculated at the SCAN level.

The structure in POSCAR format:
```
BeCrO2
1.0
-2.1939 2.1939 3.8330
2.1939 -2.1939 3.8330
2.1939 2.1939 -3.8330
Be Cr O
2 2 4
direct
0.0000 0.0000 0.0000
0.7500 0.2500 0.5000
0.2500 0.7500 0.5000
0.5000 0.5000 0.0000
0.0548 0.1250 0.4298
0.3750 0.9452 0.0702
0.6952 0.6250 0.5702
0.8750 0.3048 0.9298
```

Calculated values
Formation energy (no corrections) = -2.217 eV per atom
Space-group type = I-42d


Entry 6:
Below is a crystal of TaMnSe2Br relaxed with PBEsol, with properties calculated at the SCAN level.

The structure in POSCAR format:
```
TaMnSe2Br
1.0
4.7530 0.0000 0.0000
0.0000 4.7530 0.0000
0.0000 0.0000 4.6593
Ta Mn Se Br
1 1 2 1
direct
0.0000 0.0000 0.0000
0.5000 0.5000 0.5000
0.0000 0.5000 0.5000
0.5000 0.0000 0.5000
0.5000 0.5000 0.0000
```

Calculated values
Formation energy (no corrections) = 0.584 eV per atom
Space-group type = P4/mmm


Entry 7:
Below is a crystal of NaAuIO2 relaxed with PBEsol, with properties calculated at the SCAN level.

The structure in POSCAR format:
```
NaAuIO2
1.0
4.1226 0.0000 0.0000
0.0000 4.1226 0.0000
0.0000 0.0000 5.6839
Na Au I O
1 1 1 2
direct
0.0000 0.0000 0.0000
0.5000 0.5000 0.5000
0.5000 0.5000 0.0000
0.0000 0.5000 0.5000
0.5000 0.0000 0.5000
```

Calculated values
Formation energy (no corrections) = -0.118 eV per atom
Space-group type = P4/mmm
Relative energy among the computed polymorphs = 0.00 eV/f.u.


Entry 8:
Below is a crystal of AlReNi2 relaxed with PBEsol, with properties calculated at the SCAN level.

The structure in POSCAR format:
```
AlReNi2
1.0
-1.3295 2.1521 4.2738
1.3295 -2.1521 4.2738
1.3295 2.1521 -4.2738
Al Re Ni
1 1 2
direct
0.0000 0.0000 0.0000
0.7328 0.2328 0.5000
0.2376 0.7376 0.5000
0.4781 0.4781 0.0000
```

Calculated values
Calculated total energy = -27.973 eV per atom
Space-group type = Imm2


Entry 9:
Below is a crystal of MgZnCdGe2 relaxed with PBEsol, with properties calculated at the SCAN level.

The structure in POSCAR format:
```
MgZnCdGe2
1.0
5.0800 0.0000 0.0000
0.0000 5.0800 0.0000
0.0000 0.0000 5.1255
Mg Zn Cd Ge
1 1 1 2
direct
0.0000 0.0000 0.0000
0.5000 0.5000 0.0000
0.0000 0.0000 0.5000
0.0000 0.5000 0.5000
0.5000 0.0000 0.5000
```

Calculated values
Calculated total energy = -16.591 eV per atom
Space-group type = P4/mmm


Entry 10:
Below is a crystal of KTaTe relaxed with PBEsol, with properties calculated at the SCAN level.

The structure in POSCAR format:
```
KTaTe
1.0
0.0000 3.5276 3.5276
3.5276 0.0000 3.5276
3.5276 3.5276 0.0000
K Ta Te
1 1 1
direct
0.0000 0.0000 0.0000
0.7500 0.7500 0.7500
0.5000 0.5000 0.5000
```

Calculated values
Formation energy (no corrections) = 0.954 eV per atom
Space-group type = F-43m